# LiErPd (PBE, optimized geometry)
# Energy of formation from the pure elements = -384 meV per atom
# Crystal system = monoclinic
data_LiErPd
_cell_length_a 5.6130
_cell_length_b 3.4820
_cell_length_c 7.1406
_cell_angle_alpha 90.00
_cell_angle_beta 105.95
_cell_angle_gamma 90.00
_symmetry_space_group_name_H-M 'P 1 2/m 1'
_symmetry_Int_Tables_number 10
loop_
_symmetry_equiv_pos_as_xyz
'x,y,z'
'-x,-y,-z'
'-x,y,-z'
'x,-y,z'
loop_
_atom_site_label
_atom_site_fract_x
_atom_site_fract_y
_atom_site_fract_z
Li1 0.1210 0.0000 0.3356
Er1 0.4115 0.5000 0.7491
Pd1 0.2400 0.0000 0.9997

***

# LiEr2Pd6 (PBE, optimized geometry)
# Energy of formation from the pure elements = -488 meV per atom
# Crystal system = orthorhombic
data_LiEr2Pd6
_cell_length_a 3.1758
_cell_length_b 7.7085
_cell_length_c 13.5670
_cell_angle_alpha 90.00
_cell_angle_beta 90.00
_cell_angle_gamma 90.00
_symmetry_space_group_name_H-M 'I m m m'
_symmetry_Int_Tables_number 71
_symmetry_space_group_name_Hall '-I 2 2'
loop_
_atom_site_label
_atom_site_fract_x
_atom_site_fract_y
_atom_site_fract_z
Li1 0.0000 0.0000 0.0000
Er1 0.0000 0.0000 0.3481
Pd1 0.0000 0.1969 0.1672
Pd2 0.0000 0.2445 0.5000

***

# LiEr6Pd12 (PBE, optimized geometry)
# Energy of formation from the pure elements = -754 meV per atom
# Crystal system = trigonal
data_LiEr6Pd12
_cell_length_a 10.7539
_cell_length_b 10.7539
_cell_length_c 10.8206
_cell_angle_alpha 90.00
_cell_angle_beta 90.00
_cell_angle_gamma 120.00
_symmetry_space_group_name_H-M 'R -3'
_symmetry_Int_Tables_number 148
_symmetry_space_group_name_Hall '-R 3'
loop_
_atom_site_label
_atom_site_fract_x
_atom_site_fract_y
_atom_site_fract_z
Li1 0.0000 0.0000 0.0000
Er1 0.0071 0.4234 0.7392
Pd1 0.0584 0.8822 0.3875
Pd2 0.0615 0.1847 0.8351

***

> energy of formation from the pure elements of number 3 (LiEr6Pd12)?

-754 meV per atom